An optimized crystal structure of LiPrAg2Au4. Source: the Alexandria database, functional PBE.

## Properties
SG: R-3m, No. 166
Total magnetization in μB per cell: 0.00
Total energy in Ry/atom: -0.2643
Energy relative to the elements in kJ/mol of atoms: -39.41

```
LiPrAg2Au4
1.0
2.3743 1.3708 8.1766
-2.3743 1.3708 8.1766
0.0000 -2.7416 8.1766
Li Pr Ag Au
1 1 2 4
Cartesian
0.0000 0.0000 0.0000
0.0000 0.0000 12.2650
0.0000 0.0000 6.2369
0.0000 0.0000 18.2930
0.0000 0.0000 2.6333
0.0000 0.0000 9.0931
0.0000 0.0000 15.4368
0.0000 0.0000 21.8966
```